Record 1
Compound: Ac4InGaN
Source: the Alexandria database
Functional: GGA-PBE
Structure: relaxed

Cell lengths 7.317, 17.433, 7.341 Å; angles 90.00, 90.00, 90.00 degrees
Space group Cmcm (No. 63)
Unique sites:
Ac 0.000 0.063 0.250 x4
Ac 0.000 0.417 0.250 x4
Ac 0.250 0.250 0.000 x8
In 0.000 0.387 0.750 x4
Ga 0.000 0.120 0.750 x4
N 0.000 0.274 0.250 x4

Values from the calculation:
DOS at the Fermi energy, states/eV/cell: 27.7
E_form (uncorrected), meV/atom: -538
Calculated density, g/cm³: 7.85

=====

Record 2
Compound: Ac2InGaNi6
Source: the Alexandria database
Functional: GGA-PBE
Structure: relaxed

Cell lengths 5.177, 6.413, 6.769 Å; angles 79.19, 67.58, 66.26 degrees
Space group P-1 (No. 2)
Unique sites:
Ac 0.240 0.307 0.214 x2
In 0.000 0.000 0.000 x1
Ga 0.500 0.500 0.500 x1
Ni 0.224 0.772 0.287 x2
Ni 0.253 0.918 0.578 x2
Ni 0.284 0.229 0.714 x2

Values from the calculation:
DOS at the Fermi energy, states/eV/cell: 5.2
E_form, eV per formula unit: -3.0
Calculated density, g/cm³: 8.66

=====

Record 3
Compound: Ac2InGa3Ni4
Source: the Alexandria database
Functional: GGA-PBE
Structure: relaxed

Cell lengths 4.399, 4.399, 10.039 Å; angles 90.00, 90.00, 90.00 degrees
Space group P-4m2 (No. 115)
Unique sites:
Ac 0.000 0.500 0.236 x2
In 0.000 0.000 0.500 x1
Ga 0.000 0.500 0.891 x2
Ga 0.500 0.500 0.500 x1
Ni 0.000 0.000 0.000 x1
Ni 0.000 0.500 0.643 x2
Ni 0.500 0.500 0.000 x1

Values from the calculation:
DOS at the Fermi energy, states/eV/cell: 8.5
E_form, eV per formula unit: -4.6
Calculated density, g/cm³: 8.66

=====

Record 4
Compound: Ac2InGa4Ni3
Source: the Alexandria database
Functional: GGA-PBE
Structure: relaxed

Cell lengths 4.349, 4.349, 10.652 Å; angles 90.00, 90.00, 90.00 degrees
Space group P-4m2 (No. 115)
Unique sites:
Ac 0.000 0.500 0.236 x2
In 0.000 0.000 0.500 x1
Ga 0.000 0.000 0.000 x1
Ga 0.000 0.500 0.651 x2
Ga 0.500 0.500 0.000 x1
Ni 0.000 0.500 0.882 x2
Ni 0.500 0.500 0.500 x1

Values from the calculation:
DOS at the Fermi energy, states/eV/cell: 7.0
E_form, eV per formula unit: -4.7
Calculated density, g/cm³: 8.44

=====

Record 5
Compound: AcInGaNi3
Source: the Alexandria database
Functional: GGA-PBE
Structure: relaxed

Cell lengths 5.549, 12.131, 6.943 Å; angles 90.00, 90.00, 90.00 degrees
Space group Cmcm (No. 63)
Unique sites:
Ac 0.000 0.184 0.250 x4
In 0.000 0.131 0.750 x4
Ga 0.000 0.452 0.250 x4
Ni 0.000 0.349 0.750 x4
Ni 0.239 0.000 0.000 x8

Values from the calculation:
DOS at the Fermi energy, states/eV/cell: 12.4
E_form, eV per formula unit: -1.2
Calculated density, g/cm³: 8.35

=====

Record 6
Compound: Ac4InGaO
Source: the Alexandria database
Functional: GGA-PBE
Structure: relaxed

Cell lengths 7.168, 17.905, 7.200 Å; angles 90.00, 90.00, 90.00 degrees
Space group Cmcm (No. 63)
Unique sites:
Ac 0.000 0.057 0.250 x4
Ac 0.000 0.422 0.250 x4
Ac 0.250 0.250 0.000 x8
In 0.000 0.388 0.750 x4
Ga 0.000 0.121 0.750 x4
O 0.000 0.275 0.250 x4

Values from the calculation:
DOS at the Fermi energy, states/eV/cell: 11.5
E_form (uncorrected), meV/atom: -982
Calculated density, g/cm³: 7.97

=====

Record 7
Compound: Ac3In3GaPb2
Source: the Alexandria database
Functional: GGA-PBE
Structure: relaxed

Cell lengths 8.2589, 8.2589, 4.7899 Å; angles 90.00, 90.00, 120.00 degrees
Space group P-62m (No. 189)
Unique sites:
Ac 0.0000 0.3827 0.0000 x3
In 0.0000 0.7608 0.5000 x3
Ga 0.0000 0.0000 0.0000 x1
Pb 0.3333 0.6667 0.5000 x2

Values from the calculation:
DOS at the Fermi energy, states/eV/cell: 3.6
E_form, eV per formula unit: -4.1
Calculated density, g/cm³: 8.86

=====

Record 8
Compound: Ac2InGa3Pd4
Source: the Alexandria database
Functional: GGA-PBE
Structure: relaxed

Cell lengths 4.588, 4.588, 10.308 Å; angles 90.00, 90.00, 90.00 degrees
Space group P-4m2 (No. 115)
Unique sites:
Ac 0.000 0.500 0.241 x2
In 0.000 0.000 0.500 x1
Ga 0.000 0.500 0.888 x2
Ga 0.500 0.500 0.500 x1
Pd 0.000 0.000 0.000 x1
Pd 0.000 0.500 0.642 x2
Pd 0.500 0.500 0.000 x1

Values from the calculation:
DOS at the Fermi energy, states/eV/cell: 8.8
E_form, eV per formula unit: -7.8
Calculated density, g/cm³: 9.21

=====

Record 9
Compound: AcInGaPd
Source: the Alexandria database
Functional: GGA-PBE
Structure: relaxed

Cell lengths 7.271, 7.271, 7.271 Å; angles 90.00, 90.00, 90.00 degrees
Space group F-43m (No. 216)
Unique sites:
Ac 0.000 0.000 0.000 x4
In 0.000 0.000 0.500 x4
Ga 0.250 0.250 0.750 x4
Pd 0.250 0.250 0.250 x4

Values from the calculation:
DOS at the Fermi energy, states/eV/cell: 8.9
E_form, eV per formula unit: -2.1
Calculated density, g/cm³: 8.95

=====

Record 10
Compound: Ac2In2GaPd4
Source: the Alexandria database
Functional: GGA-PBE
Structure: relaxed

Cell lengths 6.978, 6.978, 8.625 Å; angles 90.00, 90.00, 90.00 degrees
Space group I4/mmm (No. 139)
Unique sites:
Ac 0.000 0.500 0.250 x4
In 0.000 0.000 0.173 x4
Ga 0.000 0.000 0.500 x2
Pd 0.243 0.243 0.000 x8

Values from the calculation:
DOS at the Fermi energy, states/eV/cell: 8.7
E_form, eV per formula unit: -5.6
Calculated density, g/cm³: 9.32

=====

Record 11
Compound: AcInGaPd2
Source: the Alexandria database
Functional: GGA-PBE
Structure: relaxed

Cell lengths 4.346, 4.346, 11.982 Å; angles 90.00, 90.00, 90.00 degrees
Space group I-4m2 (No. 119)
Unique sites:
Ac 0.000 0.000 0.000 x2
In 0.000 0.500 0.250 x2
Ga 0.000 0.500 0.750 x2
Pd 0.000 0.000 0.384 x4

Values from the calculation:
DOS at the Fermi energy, states/eV/cell: 7.1
E_form, eV per formula unit: -3.4
Calculated density, g/cm³: 9.16

=====

Record 12
Compound: AcInGaPd3
Source: the Alexandria database
Functional: GGA-PBE
Structure: relaxed

Cell lengths 7.098, 12.710, 6.004 Å; angles 90.00, 90.00, 90.00 degrees
Space group Cmcm (No. 63)
Unique sites:
Ac 0.000 0.201 0.250 x4
In 0.000 0.462 0.250 x4
Ga 0.000 0.122 0.750 x4
Pd 0.000 0.319 0.750 x4
Pd 0.196 0.000 0.000 x8

Values from the calculation:
DOS at the Fermi energy, states/eV/cell: 10.7
E_form, eV per formula unit: -3.4
Calculated density, g/cm³: 8.96

=====

- DOS at the Fermi energy of number 5 (AcInGaNi3)?
  12.4 states/eV/cell

=====

- The lowest DOS at the Fermi energy belongs to which entry?
  Ac3In3GaPb2

=====

- Which value of calculated density does entry 12 give?
  8.96 g/cm³

=====

- Among the records above, which one has the highest calculated density?
  Ac2In2GaPd4